Computed, not measured: a relaxed structure of Sr4ZrFe at the PBE level of DFT.

abc: 6.9656 6.9656 6.9656
angles: 60.00 60.00 60.00
Last column: nearest neighbours and their distance in Å.
Sites, in units of the cell vectors:
Sr (0.1246, 0.1246, 0.1246)  6 Sr 3.47-3.49
Sr (0.1246, 0.1246, 0.6262)  6 Sr 3.47-3.49
Sr (0.1246, 0.6262, 0.1246)  6 Sr 3.47-3.49
Sr (0.6262, 0.1246, 0.1246)  6 Sr 3.47-3.49
Zr (0.7500, 0.7500, 0.7500)  12 Sr 4.08, 4 Fe 4.27
Fe (0.5000, 0.5000, 0.5000)  12 Sr 4.09, 4 Zr 4.27

Properties
- crystal system = cubic
- SG = No. 216
- theoretical density (Mg/m³) = 3.5
- E_tot (eV/atom) = -2.751